Entry 1:
# PaSi2Ni4

A relaxed structure of PaSi2Ni4 (PBE, the Alexandria database).

The value obtained for the density is 8.6 g/cm3. As for the electronic total energy: -45.074 eV/cell. As for the crystal system: tetragonal.

Lattice parameters (Å, degrees): 3.5243 3.5243 8.4541 102.03 102.03 90.00
Fractional positions:
Pa1 0.0000 0.0000 0.0000
Si1 0.6424 0.6424 0.2848
Si2 0.3576 0.3576 0.7152
Ni1 0.1454 0.1454 0.2909
Ni2 0.8546 0.8546 0.7091
Ni3 0.2500 0.7500 0.5000
Ni4 0.7500 0.2500 0.5000


Entry 2:
# PaSiNi2

A relaxed structure of PaSiNi2 (PBE, the Alexandria database).

The value obtained for the density is 10.0 g/cm3. As for the electronic total energy: -28.972 eV/cell. As for the crystal system: trigonal.

Lattice parameters (Å, degrees): 3.9467 3.9467 5.1566 67.50 67.50 60.00
Fractional positions:
Ni1 0.7865 0.7865 0.6405
Ni2 0.2135 0.2135 0.3595
Si1 0.5000 0.5000 0.5000
Pa1 0.0000 0.0000 0.0000


Entry 3:
# Pa2SiNi

A relaxed structure of Pa2SiNi (PBE, the Alexandria database).

The value obtained for the density is 11.2 g/cm3. As for the electronic total energy: -29.272 eV/cell. As for the crystal system: trigonal.

Lattice parameters (Å, degrees): 3.0955 3.0955 9.9335 81.04 81.04 60.00
Fractional positions:
Ni1 0.0000 0.0000 0.0000
Si1 0.5000 0.5000 0.5000
Pa1 0.0857 0.0857 0.7429
Pa2 0.9143 0.9143 0.2571


Entry 4:
# PaSi3Ni5

A relaxed structure of PaSi3Ni5 (PBE, the Alexandria database).

The value obtained for the density is 8.2 g/cm3. As for the electronic total energy: -120.165 eV/cell. As for the crystal system: orthorhombic.

Lattice parameters (Å, degrees): 3.6326 6.1421 11.5123 90.00 90.00 107.20
Fractional positions:
Pa1 0.8440 0.6880 0.7500
Pa2 0.1560 0.3120 0.2500
Si1 0.3832 0.7665 0.9583
Si2 0.8804 0.7607 0.2500
Si3 0.3832 0.7665 0.5417
Si4 0.6168 0.2335 0.4583
Si5 0.1196 0.2393 0.7500
Si6 0.6168 0.2335 0.0417
Ni1 0.8021 0.6042 0.4332
Ni2 0.1979 0.3958 0.9332
Ni3 0.0000 0.0000 0.5000
Ni4 0.0000 0.0000 0.0000
Ni5 0.4495 0.8989 0.1463
Ni6 0.5505 0.1011 0.8537
Ni7 0.5505 0.1011 0.6463
Ni8 0.8021 0.6042 0.0668
Ni9 0.1979 0.3958 0.5668
Ni10 0.4495 0.8989 0.3537


Entry 5:
# PaSi3Ni

A relaxed structure of PaSi3Ni (PBE, the Alexandria database).

The value obtained for the density is 6.9 g/cm3. As for the electronic total energy: -66.907 eV/cell. As for the crystal system: monoclinic.

Lattice parameters (Å, degrees): 4.0042 5.9033 8.0671 90.00 90.00 109.94
Fractional positions:
Pa1 0.9975 0.4943 0.7500
Pa2 0.0025 0.5057 0.2500
Si1 0.3938 0.2923 0.0053
Si2 0.6062 0.7077 0.9947
Si3 0.3938 0.2923 0.4947
Si4 0.6062 0.7077 0.5053
Si5 0.2861 0.0707 0.7500
Si6 0.7139 0.9293 0.2500
Ni1 0.6950 0.8897 0.7500
Ni2 0.3050 0.1103 0.2500


Entry 6:
# Pa3SiNi8

A relaxed structure of Pa3SiNi8 (PBE, the Alexandria database).

The value obtained for the density is 11.2 g/cm3. As for the electronic total energy: -84.855 eV/cell. As for the crystal system: trigonal.

Lattice parameters (Å, degrees): 4.9786 4.9786 8.2034 90.00 90.00 120.00
Fractional positions:
Pa1 0.3333 0.6667 0.5330
Pa2 0.3333 0.6667 0.9275
Pa3 0.0000 0.0000 0.0988
Si1 0.0000 0.0000 0.5068
Ni1 0.6667 0.3333 0.4902
Ni2 0.6667 0.3333 0.9873
Ni3 0.5018 0.4982 0.2434
Ni4 0.5018 0.0037 0.2434
Ni5 0.9963 0.4982 0.2434
Ni6 0.8328 0.1672 0.7421
Ni7 0.8328 0.6657 0.7421
Ni8 0.3343 0.1672 0.7421


Summary of N(E_F) in states/eV/cell
7.0 5.5 4.8 18.3 8.5 9.4
(order as listed above)
Summary of raw formation energy in meV/atom
-229 -623 231 -601 -381 -391
(order as listed above)